[1]
Below is an optimized crystal structure of K2VPO6, with properties calculated at the PBEsol level.

Results
Formation energy without anion corrections in kJ/mol of formula units: -2247
V in Å³/atom: 16.21
E in hartree per atom: -0.2664

a b c (Å): 6.886 13.380 8.157
angles (deg): 90.00 120.39 90.00
Sites, in units of the cell vectors:
1 K 0.090 0.135 0.447
2 K 0.090 0.365 0.947
3 K 0.280 0.081 0.082
4 K 0.280 0.419 0.582
5 K 0.720 0.581 0.418
6 K 0.720 0.919 0.918
7 K 0.910 0.635 0.053
8 K 0.910 0.865 0.553
9 V 0.399 0.703 0.601
10 V 0.399 0.797 0.101
11 V 0.601 0.203 0.899
12 V 0.601 0.297 0.399
13 P 0.228 0.621 0.801
14 P 0.228 0.879 0.301
15 P 0.772 0.121 0.699
16 P 0.772 0.379 0.199
17 O 0.094 0.527 0.764
18 O 0.094 0.973 0.264
19 O 0.121 0.696 0.631
20 O 0.121 0.804 0.131
21 O 0.265 0.672 0.987
22 O 0.265 0.828 0.487
23 O 0.337 0.240 0.792
24 O 0.337 0.260 0.292
25 O 0.353 0.630 0.424
26 O 0.353 0.870 0.924
27 O 0.459 0.606 0.808
28 O 0.459 0.894 0.308
29 O 0.541 0.106 0.692
30 O 0.541 0.394 0.192
31 O 0.647 0.130 0.076
32 O 0.647 0.370 0.576
33 O 0.663 0.740 0.708
34 O 0.663 0.760 0.208
35 O 0.735 0.172 0.513
36 O 0.735 0.328 0.013
37 O 0.879 0.196 0.869
38 O 0.879 0.304 0.369
39 O 0.906 0.027 0.736
40 O 0.906 0.473 0.236

***

[2]
Below is an optimized crystal structure of HgTe2Au, with properties calculated at the PBEsol level.

Results
Formation energy without anion corrections in kJ/mol of formula units: -25
V in Å³/atom: 25.12
E in hartree per atom: -0.1084

a b c (Å): 7.236 7.236 7.236
angles (deg): 33.08 33.08 33.08
Sites, in units of the cell vectors:
1 Hg 0.000 0.000 0.000
2 Te 0.241 0.241 0.241
3 Te 0.759 0.759 0.759
4 Au 0.500 0.500 0.500

***

[3]
Below is an optimized crystal structure of TcIr2Ru, with properties calculated at the PBEsol level.

Results
V in Å³/atom: 13.80
ΔE_f in eV/atom: -0.08
Energy above the lowest structure with this stoichiometry in eV/atom: 0.038
E in hartree per atom: -0.3805

a b c (Å): 4.657 2.687 4.678
angles (deg): 90.00 109.46 90.00
Sites, in units of the cell vectors:
1 Tc 0.000 0.000 0.000
2 Ir 0.000 0.500 0.500
3 Ir 0.500 0.000 0.500
4 Ru 0.500 0.500 0.000

***

What is the formula in the first record?
K2VPO6